15
Lattice="-5.375 1.888 0.858 1.489 -5.309 1.669 3.219 4.281 10.743" Properties=species:S:1:pos:R:3 comment="La3Ga2HgPd9, optimized geometry, DFT PBE" energy_ev_per_atom=-5.13 density_kg_m3=8250 m_tot_mub_per_fu=0.00 pbc="T T T"
Pd -2.039 3.681 8.414
Pd 1.372 -2.822 4.856
Pd -2.688 0.944 0.429
Pd -1.943 -1.711 1.264
Pd 0.606 -0.092 3.998
Pd -1.392 -1.851 5.297
Pd 0.725 2.710 7.973
Pd 0.745 -2.655 0.835
Pd -1.273 0.951 9.273
La 1.600 0.280 9.406
La -2.268 0.579 3.864
La 0.000 0.000 0.000
Hg 1.609 2.140 5.371
Ga -0.285 -2.227 3.114
Ga -0.382 3.086 10.156

4
Lattice="3.898 0.000 0.000 0.000 2.924 0.026 0.000 1.499 4.981" Properties=species:S:1:pos:R:3 comment="BeCuAg2, optimized geometry, DFT PBE" energy_ev_per_atom=-3.23 density_kg_m3=8456 m_tot_mub_per_fu=0.00 pbc="T T T"
Be 0.000 2.764 2.476
Ag 0.000 4.231 4.828
Ag 1.949 1.297 1.493
Cu 1.949 2.765 3.719

5
Lattice="-0.243 0.390 5.443 -5.430 -0.566 -0.202 0.549 -5.419 0.412" Properties=species:S:1:pos:R:3 comment="CeGd3Rh, optimized geometry, DFT PBE" energy_ev_per_atom=-11.26 density_kg_m3=7281 m_tot_mub_per_fu=24.11 pbc="T T T"
Gd -2.715 -0.283 -0.101
Gd -0.122 0.195 2.722
Gd 0.275 -2.710 0.206
Ce -2.562 -2.798 2.827
Rh 0.000 0.000 0.000

20
Lattice="-0.162 -2.926 2.110 9.448 -1.417 -1.238 1.832 5.465 7.718" Properties=species:S:1:pos:R:3 comment="Li2Er2MgPd5, optimized geometry, DFT PBE" energy_ev_per_atom=-4.75 density_kg_m3=8967 m_tot_mub_per_fu=0.00 pbc="T T T"
Pd 7.391 -0.104 3.514
Pd 2.013 2.774 7.091
Pd 4.537 -0.475 2.781
Pd 3.726 1.226 5.076
Pd 2.000 -1.385 1.323
Pd 9.117 2.508 7.267
Pd 9.104 -1.652 1.499
Pd 4.643 -2.172 0.436
Pd 0.835 1.270 4.914
Pd 6.580 1.597 5.810
Er 4.556 4.039 5.951
Er 6.723 0.009 0.529
Er 9.014 2.535 4.208
Er 2.266 1.513 2.272
Li 8.995 0.824 1.835
Li 7.479 3.922 6.013
Li 3.800 0.126 0.467
Li 2.284 3.224 4.645
Mg 0.000 0.000 0.000
Mg 5.640 2.024 3.240

5
Lattice="-3.973 0.377 -4.115 -3.363 -2.253 3.040 -1.605 5.120 2.019" Properties=species:S:1:pos:R:3 comment="HfTlCd2Se, optimized geometry, DFT PBE" density_kg_m3=6853 m_tot_mub_per_fu=0.00 formation_energy_uncorrected_ev_per_fu=0.49 pbc="T T T"
Se -1.681 -1.126 1.520
Hf 0.000 0.000 0.000
Tl -4.471 1.622 0.472
Cd -0.802 2.560 1.009
Cd -1.987 0.189 -2.058

15
Lattice="-6.760 2.835 -5.738 8.242 -2.837 -3.572 -0.883 -8.218 4.520" Properties=species:S:1:pos:R:3 comment="Ac3Pm4Bi8, optimized geometry, DFT PBE" energy_ev_per_atom=-4.88 density_kg_m3=8235 m_tot_mub_per_fu=0.00 pbc="T T T"
Ac 0.741 -0.001 -4.655
Ac 0.299 -4.109 -2.395
Ac -3.822 -2.691 -0.609
Bi 2.162 -6.975 -2.201
Bi 2.631 -2.735 -4.462
Bi 5.989 -4.165 -1.574
Bi 5.491 -8.342 0.645
Bi -2.032 -5.484 -0.328
Bi -1.563 -1.243 -2.589
Bi -4.892 0.124 -5.435
Bi 1.370 -6.889 2.522
Pm -0.442 -4.109 2.260
Pm -3.380 1.418 -2.869
Pm 0.000 0.000 0.000
Pm 4.121 -1.418 -1.786

5
Lattice="4.304 0.000 0.000 0.000 4.304 0.000 0.000 0.000 4.304" Properties=species:S:1:pos:R:3 comment="TaC3Br, optimized geometry, DFT PBE" density_kg_m3=6184 m_tot_mub_per_fu=0.58 formation_energy_uncorrected_ev_per_fu=10.95 polymorph_energy_ev_per_atom=0.000 pbc="T T T"
C 2.152 0.000 0.000
C 0.000 2.152 0.000
C 0.000 0.000 2.152
Br 2.152 2.152 2.152
Ta 0.000 0.000 0.000

3
Lattice="3.288 0.000 0.000 0.000 3.288 0.000 -1.644 -1.644 7.280" Properties=species:S:1:pos:R:3 comment="HfThSc, optimized geometry, DFT PBE" density_kg_m3=9613 m_tot_mub_per_fu=0.00 polymorph_energy_ev_per_atom=0.000 pbc="T T T"
Sc 0.000 0.000 4.686
Hf 1.644 1.644 2.527
Th 0.000 0.000 0.067

Please write out number 7 again, unchanged.
5
Lattice="4.304 0.000 0.000 0.000 4.304 0.000 0.000 0.000 4.304" Properties=species:S:1:pos:R:3 comment="TaC3Br, optimized geometry, DFT PBE" density_kg_m3=6184 m_tot_mub_per_fu=0.58 formation_energy_uncorrected_ev_per_fu=10.95 polymorph_energy_ev_per_atom=0.000 pbc="T T T"
C 2.152 0.000 0.000
C 0.000 2.152 0.000
C 0.000 0.000 2.152
Br 2.152 2.152 2.152
Ta 0.000 0.000 0.000